VASP calculation (GGA-PBE) on a geometry-optimized KTa2Tl structure.

abc: 3.875 3.875 7.781
angles: 90.00 90.00 90.00
Sites, in units of the cell vectors:
K1 0.500 0.500 0.750
Ta1 0.000 0.000 0.101
Ta2 0.000 0.000 0.399
Tl1 0.500 0.500 0.250

Computed properties:
DOS at the Fermi energy: 2.8 states/eV/cell
energy above the lowest structure with this stoichiometry: 64.64 kJ per mole of atoms
magnetization: 0.00 μB/cell
energy of formation: 1201.8 meV per atom

=====

VASP calculation (GGA-PBE) on a geometry-optimized KTa2Tl structure.

abc: 3.051 3.051 10.908
angles: 90.00 90.00 109.35
Sites, in units of the cell vectors:
K1 0.500 0.500 0.748
Ta1 0.000 0.000 0.045
Ta2 0.500 0.500 0.236
Tl1 0.000 0.000 0.471

Computed properties:
DOS at the Fermi energy: 3.1 states/eV/cell
energy above the lowest structure with this stoichiometry: 0.00 kJ per mole of atoms
magnetization: 0.00 μB/cell
energy of formation: 531.9 meV per atom

=====

VASP calculation (GGA-PBE) on a geometry-optimized KTa2Tl structure.

abc: 6.797 6.797 6.797
angles: 155.55 132.85 53.81
Sites, in units of the cell vectors:
K1 0.250 0.750 0.500
Ta1 0.969 0.969 0.000
Ta2 0.531 0.531 0.000
Tl1 0.750 0.250 0.500

Computed properties:
DOS at the Fermi energy: 3.6 states/eV/cell
energy above the lowest structure with this stoichiometry: 36.49 kJ per mole of atoms
magnetization: 0.00 μB/cell
energy of formation: 910.1 meV per atom

=====

VASP calculation (GGA-PBE) on a geometry-optimized KTa2Tl structure.

abc: 11.779 11.779 11.779
angles: 14.87 14.87 14.87
Sites, in units of the cell vectors:
K1 0.750 0.750 0.750
Ta1 0.989 0.989 0.989
Ta2 0.511 0.511 0.511
Tl1 0.250 0.250 0.250

Computed properties:
DOS at the Fermi energy: 3.1 states/eV/cell
energy above the lowest structure with this stoichiometry: 41.82 kJ per mole of atoms
magnetization: 0.00 μB/cell
energy of formation: 965.3 meV per atom

=====

VASP calculation (GGA-PBE) on a geometry-optimized KTa2Tl structure.

abc: 3.043 3.043 11.753
angles: 90.00 90.00 119.53
Sites, in units of the cell vectors:
K1 0.500 0.500 0.750
Ta1 0.000 0.000 0.030
Ta2 0.000 0.000 0.470
Tl1 0.500 0.500 0.250

Computed properties:
DOS at the Fermi energy: 4.4 states/eV/cell
energy above the lowest structure with this stoichiometry: 43.23 kJ per mole of atoms
magnetization: 0.00 μB/cell
energy of formation: 979.9 meV per atom

=====

VASP calculation (GGA-PBE) on a geometry-optimized K3TaTl structure.

abc: 6.499 6.499 6.499
angles: 90.00 90.00 90.00
Last column: magnetic moment on the atom in μB.
Sites, in units of the cell vectors:
Tl1 0.000 0.000 0.000  -0.06
K1 0.000 0.500 0.000  0.00
K2 0.000 0.000 0.500  0.01
K3 0.500 0.000 0.000  0.00
Ta1 0.500 0.500 0.500  2.32

Computed properties:
DOS at the Fermi energy: 7.3 states/eV/cell
energy above the lowest structure with this stoichiometry: 5.78 kJ per mole of atoms
magnetization: 3.85 μB/cell
energy of formation: 1441.2 meV per atom

=====

VASP calculation (GGA-PBE) on a geometry-optimized KTa2Tl structure.

abc: 6.059 6.059 6.059
angles: 139.51 139.51 58.60
Sites, in units of the cell vectors:
K1 0.750 0.250 0.500
Ta1 0.000 0.000 0.000
Ta2 0.500 0.500 0.000
Tl1 0.250 0.750 0.500

Computed properties:
DOS at the Fermi energy: 5.4 states/eV/cell
energy above the lowest structure with this stoichiometry: 78.77 kJ per mole of atoms
magnetization: 0.00 μB/cell
energy of formation: 1348.2 meV per atom

=====

VASP calculation (GGA-PBE) on a geometry-optimized KTa2Tl structure.

abc: 2.932 2.932 11.130
angles: 90.00 90.00 90.00
Sites, in units of the cell vectors:
K1 0.500 0.500 0.750
Ta1 0.000 0.000 0.041
Ta2 0.000 0.000 0.459
Tl1 0.500 0.500 0.250

Computed properties:
DOS at the Fermi energy: 3.8 states/eV/cell
energy above the lowest structure with this stoichiometry: 53.59 kJ per mole of atoms
magnetization: 0.00 μB/cell
energy of formation: 1087.2 meV per atom

=====

VASP calculation (GGA-PBE) on a geometry-optimized KTaTl3 structure.

abc: 5.797 5.797 5.797
angles: 90.00 90.00 90.00
Last column: magnetic moment on the atom in μB.
Sites, in units of the cell vectors:
Tl1 0.000 0.500 0.000  -0.04
Tl2 0.000 0.000 0.500  -0.03
Tl3 0.500 0.000 0.000  -0.03
K1 0.000 0.000 0.000  -0.03
Ta1 0.500 0.500 0.500  2.11

Computed properties:
DOS at the Fermi energy: 8.6 states/eV/cell
energy above the lowest structure with this stoichiometry: 133.89 kJ per mole of atoms
magnetization: 2.81 μB/cell
energy of formation: 1747.2 meV per atom

=====

VASP calculation (GGA-PBE) on a geometry-optimized KTa2Tl structure.

abc: 4.628 4.628 11.247
angles: 78.13 78.13 90.00
Sites, in units of the cell vectors:
Tl1 0.000 0.000 0.000
Tl2 0.750 0.250 0.500
K1 0.500 0.500 0.000
K2 0.250 0.750 0.500
Ta1 0.988 0.125 0.250
Ta2 0.762 0.625 0.250
Ta3 0.375 0.012 0.750
Ta4 0.875 0.238 0.750

Computed properties:
DOS at the Fermi energy: 8.8 states/eV/cell
energy above the lowest structure with this stoichiometry: 85.02 kJ per mole of atoms
magnetization: 0.00 μB/cell
energy of formation: 1413.1 meV per atom

=====

VASP calculation (GGA-PBE) on a geometry-optimized KTa2Tl structure.

abc: 3.478 3.478 8.790
angles: 90.00 90.00 90.00
Sites, in units of the cell vectors:
K1 0.500 0.500 0.747
Ta1 0.000 0.000 0.086
Ta2 0.500 0.500 0.221
Tl1 0.000 0.000 0.446

Computed properties:
DOS at the Fermi energy: 1.8 states/eV/cell
energy above the lowest structure with this stoichiometry: 4.31 kJ per mole of atoms
magnetization: 0.00 μB/cell
energy of formation: 576.6 meV per atom

=====

VASP calculation (GGA-PBE) on a geometry-optimized KTa2Tl structure.

abc: 6.660 6.660 6.660
angles: 153.68 126.52 60.57
Last column: magnetic moment on the atom in μB.
Sites, in units of the cell vectors:
K1 0.247 0.747 0.500  0.02
Ta1 0.953 0.953 0.000  -0.12
Ta2 0.768 0.268 0.500  0.33
Tl1 0.531 0.531 0.000  0.00

Computed properties:
DOS at the Fermi energy: 2.7 states/eV/cell
energy above the lowest structure with this stoichiometry: 49.68 kJ per mole of atoms
magnetization: 0.36 μB/cell
energy of formation: 1046.7 meV per atom